(1)
A relaxed Mg2TiBe2Pt5 crystal. Source: Alexandria, functional GGA-PBE.

a b c (Å): 9.2750 9.2750 3.4062
angles (deg): 90.00 90.00 90.00
Last column: nearest neighbours and their distance in Å.
Space group P4/mbm (No. 127)
Unique sites:
Mg1 0.1746 0.3254 0.0000 [4 per cell]  3 Be 2.68-2.79, 6 Pt 2.85-2.91
Ti1 0.0000 0.0000 0.0000 [2 per cell]  8 Pt 2.67
Be1 0.1214 0.6214 0.0000 [4 per cell]  6 Pt 2.33-2.36
Pt1 0.0000 0.5000 0.5000 [2 per cell]  4 Be 2.33
Pt2 0.0734 0.7915 0.5000 [8 per cell]  2 Be 2.36

Properties
uncorrected energy = -5.696 eV per atom
Fermi-level density of states = 3.369 states/eV/f.u.
calculated formation energy = -0.822 eV/atom



(2)
A relaxed CaTaIn2 crystal. Source: Alexandria, functional GGA-PBE.

a b c (Å): 3.1220 5.3158 5.4570
angles (deg): 90.00 90.48 90.00
Last column: nearest neighbours and their distance in Å.
Space group Pm (No. 6)
Unique sites:
Ca1 0.0000 0.0000 0.0000 [1 per cell]  8 In 3.08-3.20, 2 Ca 3.12, 2 Ta 3.32
Ta1 0.0286 0.5000 0.6371 [1 per cell]  8 In 3.09-3.22, 2 Ta 3.12, 2 Ca 3.32
In1 0.5043 0.0000 0.5104 [1 per cell]  4 Ca 3.08-3.20, 4 In 3.12-3.33, 4 Ta 3.12-3.19
In2 0.5090 0.5000 0.1439 [1 per cell]  4 Ta 3.09-3.22, 4 In 3.12-3.33, 4 Ca 3.17-3.19

Properties
uncorrected energy = -4.645 eV per atom
Fermi-level density of states = 3.686 states/eV/f.u.
calculated formation energy = 0.188 eV/atom